# HfCrN2O (PBE with a Hubbard U, relaxed)
# Electronic total energy (eV for the cell shown): -40.76
data_HfCrN2O
_chemical_formula_sum 'Hf1 Cr1 N2 O1'
_cell_length_a 4.233
_cell_length_b 4.233
_cell_length_c 4.018
_cell_angle_alpha 90.00
_cell_angle_beta 90.00
_cell_angle_gamma 90.00
_space_group_name_H-M_alt 'P 4/m m m'
_space_group_IT_number 123
_space_group_name_Hall '-P 4 2'
loop_
_atom_site_label
_atom_site_fract_x
_atom_site_fract_y
_atom_site_fract_z
Hf1 0.000 0.000 0.000
Cr1 0.500 0.500 0.500
N1 0.000 0.500 0.000
O1 0.000 0.000 0.500